1.
This record from Alexandria describes a relaxed LaHCl3 crystal. The functional is GGA-PBE.

Summary:
The space-group type is P2/c (13). As for the uncorrected energy: -4.6442 eV per atom. The value obtained for the total magnetization is 0.0 Bohr magnetons per cell. As for the crystal system: monoclinic.

Cell lengths 7.1813, 7.6089, 13.4329 Å; angles 90.00, 108.77, 90.00 degrees
Fractional positions:
1 La 0.0010 0.2488 0.0850
2 La 0.0010 0.7512 0.5850
3 La 0.9990 0.2488 0.4150
4 La 0.9990 0.7512 0.9150
5 H 0.0554 0.2657 0.7601
6 H 0.0554 0.7343 0.2601
7 H 0.9446 0.2657 0.7399
8 H 0.9446 0.7343 0.2399
9 Cl 0.2443 0.4694 0.0172
10 Cl 0.2443 0.5306 0.5172
11 Cl 0.2453 0.0332 0.5683
12 Cl 0.2453 0.9668 0.0683
13 Cl 0.2524 0.2489 0.2939
14 Cl 0.2524 0.7511 0.7939
15 Cl 0.7476 0.2489 0.2061
16 Cl 0.7476 0.7511 0.7061
17 Cl 0.7547 0.0332 0.9317
18 Cl 0.7547 0.9668 0.4317
19 Cl 0.7557 0.4694 0.4828
20 Cl 0.7557 0.5306 0.9828



2.
This record from Alexandria describes a relaxed CdGe2Pt7 crystal. The functional is GGA-PBE.

Summary:
As for the energy relative to the elements: -340 meV per atom. The space-group type is I4/mmm (139). The value obtained for the total magnetization is 0.0 Bohr magnetons per cell. As for the crystal system: tetragonal.

Cell lengths 10.5188, 10.5188, 10.5188 Å; angles 157.65, 157.65, 31.82 degrees
Fractional positions:
1 Cd 0.0000 0.0000 0.0000
2 Ge 0.3261 0.3261 0.0000
3 Ge 0.6739 0.6739 0.0000
4 Pt 0.1016 0.6016 0.5000
5 Pt 0.2500 0.7500 0.5000
6 Pt 0.3985 0.8984 0.5000
7 Pt 0.5000 0.5000 0.0000
8 Pt 0.6016 0.1016 0.5000
9 Pt 0.7500 0.2500 0.5000
10 Pt 0.8984 0.3985 0.5000



3.
This record from Alexandria describes a relaxed KBaSr2Si crystal. The functional is GGA-PBE.

Summary:
The space-group type is P4/mmm (123). As for the uncorrected energy: -2.4422 eV per atom. The value obtained for the total magnetization is 0.4 Bohr magnetons per cell. As for the crystal system: tetragonal.

Cell lengths 6.2847, 6.2847, 6.6433 Å; angles 90.00, 90.00, 90.00 degrees
Fractional positions:
1 K 0.0000 0.0000 0.0000
2 Ba 0.5000 0.5000 0.0000
3 Sr 0.0000 0.5000 0.5000
4 Sr 0.5000 0.0000 0.5000
5 Si 0.5000 0.5000 0.5000



4.
This record from Alexandria describes a relaxed Rb2NaCF6 crystal. The functional is GGA-PBE.

Summary:
The space-group type is Fm-3m (225). As for the uncorrected energy: -4.1159 eV per atom. The value obtained for the total magnetization is 1.0 Bohr magnetons per cell. As for the crystal system: cubic.

Cell lengths 5.8879, 5.8879, 5.8879 Å; angles 60.00, 60.00, 60.00 degrees
Fractional positions:
1 Rb 0.2500 0.2500 0.2500
2 Rb 0.7500 0.7500 0.7500
3 Na 0.0000 0.0000 0.0000
4 C 0.5000 0.5000 0.5000
5 F 0.2851 0.2851 0.7149
6 F 0.2851 0.7149 0.2851
7 F 0.2851 0.7149 0.7149
8 F 0.7149 0.2851 0.2851
9 F 0.7149 0.2851 0.7149
10 F 0.7149 0.7149 0.2851



5.
This record from Alexandria describes a relaxed La2AlNi9H12 crystal. The functional is GGA-PBE.

Summary:
The space-group type is Cmmm (65). As for the uncorrected energy: -4.5204 eV per atom. The value obtained for the total magnetization is 0.0 Bohr magnetons per cell. As for the crystal system: orthorhombic.

Cell lengths 5.6563, 5.6563, 7.5692 Å; angles 90.00, 90.00, 115.19 degrees
Fractional positions:
1 La 0.0000 0.0000 0.2475
2 La 0.0000 0.0000 0.7525
3 Al 0.5000 0.5000 0.5000
4 Ni 0.0000 0.5000 0.0000
5 Ni 0.0000 0.5000 0.5000
6 Ni 0.3392 0.6608 0.2544
7 Ni 0.3392 0.6608 0.7456
8 Ni 0.5000 0.0000 0.0000
9 Ni 0.5000 0.0000 0.5000
10 Ni 0.5000 0.5000 0.0000
11 Ni 0.6608 0.3392 0.2544
12 Ni 0.6608 0.3392 0.7456
13 H 0.0986 0.2794 0.5000
14 H 0.1873 0.3625 0.0000
15 H 0.1925 0.8075 0.0000
16 H 0.2794 0.0986 0.5000
17 H 0.2912 0.7088 0.5000
18 H 0.3625 0.1873 0.0000
19 H 0.6375 0.8127 0.0000
20 H 0.7088 0.2912 0.5000
21 H 0.7206 0.9014 0.5000
22 H 0.8075 0.1925 0.0000
23 H 0.8127 0.6375 0.0000
24 H 0.9014 0.7206 0.5000



6.
This record from Alexandria describes a relaxed Pr6SmDy12 crystal. The functional is GGA-PBE.

Summary:
As for the energy relative to the elements: 120 meV per atom. The space-group type is R-3m (166). The value obtained for the total magnetization is 0.0 Bohr magnetons per cell. As for the crystal system: trigonal.

Cell lengths 8.7265, 8.7265, 8.7265 Å; angles 79.57, 79.57, 79.57 degrees
Fractional positions:
1 Pr 0.2684 0.2684 0.6643
2 Pr 0.2684 0.6643 0.2684
3 Pr 0.3357 0.7316 0.7316
4 Pr 0.6643 0.2684 0.2684
5 Pr 0.7316 0.3357 0.7316
6 Pr 0.7316 0.7316 0.3357
7 Sm 0.5000 0.5000 0.5000
8 Dy 0.0145 0.0145 0.6966
9 Dy 0.0145 0.6966 0.0145
10 Dy 0.0162 0.3625 0.3625
11 Dy 0.3034 0.9855 0.9855
12 Dy 0.3625 0.0162 0.3625
13 Dy 0.3625 0.3625 0.0162
14 Dy 0.6375 0.6375 0.9838
15 Dy 0.6375 0.9838 0.6375
16 Dy 0.6966 0.0145 0.0145
17 Dy 0.9838 0.6375 0.6375
18 Dy 0.9855 0.3034 0.9855
19 Dy 0.9855 0.9855 0.3034



7.
This record from Alexandria describes a relaxed PaBiBr2F6 crystal. The functional is GGA-PBE.

Summary:
The space-group type is Pmmn (59). As for the uncorrected energy: -5.5445 eV per atom. The value obtained for the total magnetization is 0.0 Bohr magnetons per cell. As for the crystal system: orthorhombic.

Cell lengths 7.9919, 9.0680, 6.7875 Å; angles 90.00, 90.00, 90.00 degrees
Fractional positions:
1 Pa 0.2500 0.2500 0.2485
2 Pa 0.7500 0.7500 0.7515
3 Bi 0.2500 0.7500 0.0150
4 Bi 0.7500 0.2500 0.9850
5 Br 0.2500 0.5371 0.7562
6 Br 0.2500 0.9629 0.7562
7 Br 0.7500 0.0371 0.2438
8 Br 0.7500 0.4629 0.2438
9 F 0.0460 0.2500 0.0280
10 F 0.0709 0.2500 0.4665
11 F 0.2500 0.0175 0.2414
12 F 0.2500 0.4825 0.2414
13 F 0.4291 0.2500 0.4665
14 F 0.4540 0.2500 0.0280
15 F 0.5460 0.7500 0.9720
16 F 0.5709 0.7500 0.5335
17 F 0.7500 0.5175 0.7586
18 F 0.7500 0.9825 0.7586
19 F 0.9291 0.7500 0.5335
20 F 0.9540 0.7500 0.9720



8.
This record from Alexandria describes a relaxed ThSiS4 crystal. The functional is GGA-PBE.

Summary:
The space-group type is I4_1/amd (141). As for the uncorrected energy: -6.1698 eV per atom. The value obtained for the total magnetization is 0.0 Bohr magnetons per cell. As for the crystal system: tetragonal.

Cell lengths 7.3616, 7.3616, 7.3616 Å; angles 105.17, 105.17, 118.46 degrees
Fractional positions:
1 Th 0.3750 0.6250 0.7500
2 Th 0.6250 0.3750 0.2500
3 Si 0.1250 0.8750 0.2500
4 Si 0.8750 0.1250 0.7500
5 S 0.1189 0.6893 0.4296
6 S 0.2403 0.3107 0.9296
7 S 0.3107 0.2403 0.4296
8 S 0.3107 0.8811 0.0704
9 S 0.6893 0.1189 0.9296
10 S 0.6893 0.7597 0.5704
11 S 0.7597 0.6893 0.0704
12 S 0.8811 0.3107 0.5704



9.
This record from Alexandria describes a relaxed Sc2TlSe2 crystal. The functional is GGA-PBE.

Summary:
The space-group type is P4/mbm (127). As for the uncorrected energy: -5.3411 eV per atom. The value obtained for the total magnetization is 0.0 Bohr magnetons per cell. As for the crystal system: tetragonal.

Cell lengths 7.8276, 7.8276, 3.5468 Å; angles 90.00, 90.00, 90.00 degrees
Fractional positions:
1 Sc 0.1508 0.3492 0.0000
2 Sc 0.3492 0.8492 0.0000
3 Sc 0.6508 0.1508 0.0000
4 Sc 0.8492 0.6508 0.0000
5 Tl 0.0000 0.0000 0.0000
6 Tl 0.5000 0.5000 0.0000
7 Se 0.1436 0.6436 0.5000
8 Se 0.3564 0.1436 0.5000
9 Se 0.6436 0.8564 0.5000
10 Se 0.8564 0.3564 0.5000



10.
This record from Alexandria describes a relaxed ReINF2 crystal. The functional is GGA-PBE.

Summary:
The space-group type is P4/mmm (123). As for the uncorrected energy: -3.9215 eV per atom. The value obtained for the total magnetization is 5.9 Bohr magnetons per cell. As for the crystal system: tetragonal.

Cell lengths 4.8943, 4.8943, 4.0601 Å; angles 90.00, 90.00, 90.00 degrees
Fractional positions:
1 Re 0.0000 0.0000 0.0000
2 I 0.5000 0.5000 0.5000
3 N 0.5000 0.5000 0.0000
4 F 0.0000 0.5000 0.5000
5 F 0.5000 0.0000 0.5000



11.
This record from Alexandria describes a relaxed ZnPt2 crystal. The functional is GGA-PBE.

Summary:
As for the energy relative to the elements: -306 meV per atom. The space-group type is P-3m1 (164). The value obtained for the total magnetization is 0.0 Bohr magnetons per cell. As for the crystal system: trigonal.

Cell lengths 4.3682, 4.3682, 2.7660 Å; angles 90.00, 90.00, 120.00 degrees
Fractional positions:
1 Zn 0.0000 0.0000 0.0000
2 Pt 0.3333 0.6667 0.2641
3 Pt 0.6667 0.3333 0.7359



12.
This record from Alexandria describes a relaxed NdCd6Ag2 crystal. The functional is GGA-PBE.

Summary:
As for the energy relative to the elements: -78 meV per atom. The space-group type is C2/m (12). The value obtained for the total magnetization is 0.1 Bohr magnetons per cell. As for the crystal system: monoclinic.

Cell lengths 8.7561, 8.7561, 3.1645 Å; angles 99.58, 99.58, 59.43 degrees
Fractional positions:
1 Nd 0.0000 0.0000 0.0000
2 Cd 0.0003 0.3507 0.6727
3 Cd 0.9997 0.6493 0.3273
4 Cd 0.3351 0.6649 0.5000
5 Cd 0.3507 0.0003 0.6727
6 Cd 0.6493 0.9997 0.3273
7 Cd 0.6649 0.3351 0.5000
8 Ag 0.3521 0.3521 0.8631
9 Ag 0.6479 0.6479 0.1369



- What is the formula in the ninth record?
  Sc2TlSe2